# Cs3CeS3, optimized geometry, DFT GGA-PBE
# Fermi-level density of states: 30.50 states/eV/cell
# Calculated total energy: -4.363 eV/atom
# Formation energy from raw total energies: -1380 meV per atom
data_Cs3CeS3
_chemical_formula_sum 'Cs12 Ce4 S12'
_cell_length_a 9.9253
_cell_length_b 8.8924
_cell_length_c 13.9803
_cell_angle_alpha 90.00
_cell_angle_beta 94.51
_cell_angle_gamma 90.00
_symmetry_space_group_name_H-M 'P 1 21/c 1'
_symmetry_Int_Tables_number 14
loop_
_symmetry_equiv_pos_as_xyz
'x,y,z'
'-x,-y,-z'
'-x,y+1/2,-z+1/2'
'x,-y+1/2,z+1/2'
loop_
_atom_site_label
_atom_site_fract_x
_atom_site_fract_y
_atom_site_fract_z
Cs1 0.0702 0.1370 0.1423
Cs2 0.3533 0.7123 0.8026
Cs3 0.3759 0.1927 0.9234
Ce1 0.1634 0.5868 0.0631
S1 0.1004 0.0489 0.3894
S2 0.2578 0.6378 0.5324
S3 0.3301 0.0744 0.6782